A relaxed AcMg2Cu crystal, computed with PBE-GGA.

Cell and atoms, written as POSCAR:
```
AcMg2Cu
1.0
3.4647 0.0000 0.0000
0.0000 3.4647 0.0000
0.0000 0.0000 8.2224
Ac Mg Cu
1 2 1
direct
0.0000 0.0000 0.0000 Ac
0.5000 0.5000 0.3238 Mg
0.5000 0.5000 0.6762 Mg
0.0000 0.0000 0.5000 Cu
```

Results
Electronic total energy, eV per atom: -2.811
Calculated volume, Å³ per cell: 99
Energy above the lowest structure with this stoichiometry, meV/atom: 195
Formation enthalpy at 0 K, meV per atom: 37
M_tot, μB per formula unit: 0.0
Space group: P4/mmm